The following is a GGA-PBE calculation of a relaxed structure of ScCdPb2, from the Alexandria database.

ΔH_f (0 K): -116 meV per atom
E: -0.1390 hartree per atom
Space-group type: No. 25

Lattice parameters (Å, degrees): 3.6381 4.5121 6.3742 90.00 90.00 90.00
With the nearest neighbours (Å) after each atom.
Fractional coordinates of all 4 atoms:
Cd: 0.5000 0.5000 0.7526  5 Pb 3.00-3.24
Pb: 0.0000 0.0000 0.9794  2 Sc 3.15-3.23, 4 Cd 3.24, 4 Pb 3.48
Pb: 0.5000 0.5000 0.2824  1 Cd 3.00, 4 Sc 3.17
Sc: 0.0000 0.0000 0.4856  6 Pb 3.15-3.23, 4 Cd 3.36